# 1
A plane-wave DFT calculation with PBE was carried out for an optimized crystal structure of Li3Mg3Cd2Au.

Unit cell a=8.0398 b=8.0398 c=3.2122 alpha=90.00 beta=90.00 gamma=120.00
Space group P-62m (No. 189)
One atom of each set of equivalent atoms:
Li  0.0000  0.3719  0.0000 (multiplicity 3)
Mg  0.0000  0.7218  0.5000 (multiplicity 3)
Cd  0.3333  0.6667  0.5000 (multiplicity 2)
Au  0.0000  0.0000  0.0000 (multiplicity 1)

Computed properties:
- crystal system = hexagonal
- calculated volume (Å³ per cell) = 179.8
- formation energy from the elements (eV/f.u.) = -2.467
- N(E_F) (states/eV/f.u.) = 1.2

# 2
A plane-wave DFT calculation with PBE was carried out for an optimized crystal structure of Li2MgCd2Au5.

Unit cell a=9.508 b=9.508 c=3.947 alpha=90.00 beta=90.00 gamma=90.00
Space group P4/mbm (No. 127)
One atom of each set of equivalent atoms:
Li  0.124  0.376  0.000 (multiplicity 4)
Mg  0.000  0.000  0.000 (multiplicity 2)
Cd  0.170  0.670  0.000 (multiplicity 4)
Au  0.000  0.500  0.500 (multiplicity 2)
Au  0.082  0.198  0.500 (multiplicity 8)

Computed properties:
- crystal system = tetragonal
- calculated volume (Å³ per cell) = 356.8
- formation energy from the elements (eV/f.u.) = -3.468
- N(E_F) (states/eV/f.u.) = 3.3

# 3
A plane-wave DFT calculation with PBE was carried out for an optimized crystal structure of Li3MgCdAu.

Unit cell a=4.446 b=13.821 c=6.961 alpha=90.00 beta=90.00 gamma=90.00
Space group Cmcm (No. 63)
One atom of each set of equivalent atoms:
Li  0.000  0.153  0.002 (multiplicity 8)
Li  0.000  0.327  0.250 (multiplicity 4)
Mg  0.000  0.500  0.000 (multiplicity 4)
Cd  0.000  0.321  0.750 (multiplicity 4)
Au  0.000  0.006  0.750 (multiplicity 4)

Computed properties:
- crystal system = orthorhombic
- calculated volume (Å³ per cell) = 427.7
- formation energy from the elements (eV/f.u.) = -2.041
- N(E_F) (states/eV/f.u.) = 2.9

# 4
A plane-wave DFT calculation with PBE was carried out for an optimized crystal structure of LiMgCd4Au2.

Unit cell a=4.045 b=4.045 c=11.035 alpha=90.00 beta=90.00 gamma=90.00
Space group P4/mmm (No. 123)
One atom of each set of equivalent atoms:
Li  0.000  0.000  0.000 (multiplicity 1)
Mg  0.000  0.000  0.500 (multiplicity 1)
Cd  0.000  0.500  0.188 (multiplicity 4)
Au  0.500  0.500  0.379 (multiplicity 2)

Computed properties:
- crystal system = tetragonal
- calculated volume (Å³ per cell) = 180.6
- formation energy from the elements (eV/f.u.) = -0.822
- N(E_F) (states/eV/f.u.) = 2.2

# 5
A plane-wave DFT calculation with PBE was carried out for an optimized crystal structure of Li2MgCdAu4.

Unit cell a=4.6193 b=4.6193 c=22.5239 alpha=90.00 beta=90.00 gamma=120.00
Space group R-3m (No. 166, hexagonal axes)
One atom of each set of equivalent atoms:
Li  0.0000  0.0000  0.2483 (multiplicity 6)
Mg  0.0000  0.0000  0.0000 (multiplicity 3)
Cd  0.0000  0.0000  0.5000 (multiplicity 3)
Au  0.0000  0.0000  0.1216 (multiplicity 6)
Au  0.0000  0.0000  0.3710 (multiplicity 6)

Computed properties:
- crystal system = trigonal
- calculated volume (Å³ per cell) = 416.2
- formation energy from the elements (eV/f.u.) = -3.798
- N(E_F) (states/eV/f.u.) = 2.9

# 6
A plane-wave DFT calculation with PBE was carried out for an optimized crystal structure of LiMgCdAu2.

Unit cell a=6.616 b=4.021 c=6.792 alpha=90.00 beta=92.18 gamma=90.00
Space group P2_1/m (No. 11)
One atom of each set of equivalent atoms:
Li  0.165  0.250  0.061 (multiplicity 2)
Mg  0.251  0.750  0.770 (multiplicity 2)
Cd  0.328  0.250  0.445 (multiplicity 2)
Au  0.029  0.750  0.308 (multiplicity 2)
Au  0.448  0.750  0.148 (multiplicity 2)

Computed properties:
- crystal system = monoclinic
- calculated volume (Å³ per cell) = 180.5
- formation energy from the elements (eV/f.u.) = -2.081
- N(E_F) (states/eV/f.u.) = 1.1

# 7
A plane-wave DFT calculation with PBE was carried out for an optimized crystal structure of Li3Mg2CdAu3.

Unit cell a=7.8027 b=7.8027 c=2.9390 alpha=90.00 beta=90.00 gamma=120.00
Space group P-62m (No. 189)
One atom of each set of equivalent atoms:
Li  0.0000  0.6983  0.0000 (multiplicity 3)
Mg  0.3333  0.6667  0.0000 (multiplicity 2)
Cd  0.0000  0.0000  0.5000 (multiplicity 1)
Au  0.0000  0.3778  0.5000 (multiplicity 3)

Computed properties:
- crystal system = hexagonal
- calculated volume (Å³ per cell) = 155.0
- formation energy from the elements (eV/f.u.) = -3.951
- N(E_F) (states/eV/f.u.) = 2.4

# 8
A plane-wave DFT calculation with PBE was carried out for an optimized crystal structure of LiMg2CdAu4.

Unit cell a=4.6437 b=4.6437 c=22.8605 alpha=90.00 beta=90.00 gamma=120.00
Space group R-3m (No. 166, hexagonal axes)
One atom of each set of equivalent atoms:
Li  0.0000  0.0000  0.0000 (multiplicity 3)
Mg  0.0000  0.0000  0.2508 (multiplicity 6)
Cd  0.0000  0.0000  0.5000 (multiplicity 3)
Au  0.0000  0.0000  0.1187 (multiplicity 6)
Au  0.0000  0.0000  0.3715 (multiplicity 6)

Computed properties:
- crystal system = trigonal
- calculated volume (Å³ per cell) = 426.9
- formation energy from the elements (eV/f.u.) = -3.894
- N(E_F) (states/eV/f.u.) = 2.2

# 9
A plane-wave DFT calculation with PBE was carried out for an optimized crystal structure of Na2Li5CdAu2.

Unit cell a=10.625 b=10.625 c=3.659 alpha=90.00 beta=90.00 gamma=90.00
Space group P4/mbm (No. 127)
One atom of each set of equivalent atoms:
Na  0.174  0.326  0.000 (multiplicity 4)
Li  0.000  0.500  0.500 (multiplicity 2)
Li  0.064  0.795  0.500 (multiplicity 8)
Cd  0.000  0.000  0.000 (multiplicity 2)
Au  0.123  0.623  0.000 (multiplicity 4)

Computed properties:
- crystal system = tetragonal
- calculated volume (Å³ per cell) = 413.1
- formation energy from the elements (eV/f.u.) = -2.701
- N(E_F) (states/eV/f.u.) = 3.7

# 10
A plane-wave DFT calculation with PBE was carried out for an optimized crystal structure of NaLiCd2Au.

Unit cell a=5.330 b=5.330 c=4.932 alpha=90.00 beta=90.00 gamma=90.00
Space group P4/mmm (No. 123)
One atom of each set of equivalent atoms:
Na  0.000  0.000  0.000 (multiplicity 1)
Li  0.500  0.500  0.000 (multiplicity 1)
Cd  0.000  0.500  0.500 (multiplicity 2)
Au  0.500  0.500  0.500 (multiplicity 1)

Computed properties:
- crystal system = tetragonal
- calculated volume (Å³ per cell) = 140.1
- formation energy from the elements (eV/f.u.) = -0.596
- N(E_F) (states/eV/f.u.) = 1.5